# NaLaPdPb, relaxed, DFT PBE-GGA
# Spin magnetization in μB/atom: 0.00
# E_tot in eV/atom: -4.1429
data_NaLaPdPb
_symmetry_space_group_name_H-M 'F -4 3 m'
_symmetry_Int_Tables_number 216
_symmetry_space_group_name_Hall 'F -4 2 3'
_cell_length_a 7.466
_cell_length_b 7.466
_cell_length_c 7.466
_cell_angle_alpha 90.00
_cell_angle_beta 90.00
_cell_angle_gamma 90.00
loop_
_atom_site_label
_atom_site_type_symbol
_atom_site_fract_x
_atom_site_fract_y
_atom_site_fract_z
_atom_site_occupancy
Na1 Na 0.000 0.000 0.000 1
La1 La 0.000 0.000 0.500 1
Pd1 Pd 0.250 0.250 0.750 1
Pb1 Pb 0.250 0.250 0.250 1

# NaLaPdPb, relaxed, DFT PBE-GGA
# Spin magnetization in μB/atom: 0.00
# E_tot in eV/atom: -4.1113
data_NaLaPdPb
_symmetry_space_group_name_H-M 'F -4 3 m'
_symmetry_Int_Tables_number 216
_symmetry_space_group_name_Hall 'F -4 2 3'
_cell_length_a 7.301
_cell_length_b 7.301
_cell_length_c 7.301
_cell_angle_alpha 90.00
_cell_angle_beta 90.00
_cell_angle_gamma 90.00
loop_
_atom_site_label
_atom_site_type_symbol
_atom_site_fract_x
_atom_site_fract_y
_atom_site_fract_z
_atom_site_occupancy
Na1 Na 0.000 0.000 0.000 1
La1 La 0.250 0.250 0.250 1
Pd1 Pd 0.250 0.250 0.750 1
Pb1 Pb 0.000 0.000 0.500 1

# NaLaPdPb, relaxed, DFT PBE-GGA
# Spin magnetization in μB/atom: 0.00
# E_tot in eV/atom: -4.2712
data_NaLaPdPb
_symmetry_space_group_name_H-M 'F -4 3 m'
_symmetry_Int_Tables_number 216
_symmetry_space_group_name_Hall 'F -4 2 3'
_cell_length_a 7.203
_cell_length_b 7.203
_cell_length_c 7.203
_cell_angle_alpha 90.00
_cell_angle_beta 90.00
_cell_angle_gamma 90.00
loop_
_atom_site_label
_atom_site_type_symbol
_atom_site_fract_x
_atom_site_fract_y
_atom_site_fract_z
_atom_site_occupancy
Na1 Na 0.000 0.000 0.000 1
La1 La 0.250 0.250 0.750 1
Pd1 Pd 0.000 0.000 0.500 1
Pb1 Pb 0.250 0.250 0.250 1

# NaLaPtPb, relaxed, DFT PBE-GGA
# Spin magnetization in μB/atom: 0.00
# E_tot in eV/atom: -4.5719
data_NaLaPtPb
_symmetry_space_group_name_H-M 'F -4 3 m'
_symmetry_Int_Tables_number 216
_symmetry_space_group_name_Hall 'F -4 2 3'
_cell_length_a 7.199
_cell_length_b 7.199
_cell_length_c 7.199
_cell_angle_alpha 90.00
_cell_angle_beta 90.00
_cell_angle_gamma 90.00
loop_
_atom_site_label
_atom_site_type_symbol
_atom_site_fract_x
_atom_site_fract_y
_atom_site_fract_z
_atom_site_occupancy
Na1 Na 0.000 0.000 0.000 1
La1 La 0.250 0.250 0.250 1
Pt1 Pt 0.000 0.000 0.500 1
Pb1 Pb 0.250 0.250 0.750 1

# NaLaPtPb, relaxed, DFT PBE-GGA
# Spin magnetization in μB/atom: 0.00
# E_tot in eV/atom: -4.4229
data_NaLaPtPb
_symmetry_space_group_name_H-M 'F -4 3 m'
_symmetry_Int_Tables_number 216
_symmetry_space_group_name_Hall 'F -4 2 3'
_cell_length_a 7.412
_cell_length_b 7.412
_cell_length_c 7.412
_cell_angle_alpha 90.00
_cell_angle_beta 90.00
_cell_angle_gamma 90.00
loop_
_atom_site_label
_atom_site_type_symbol
_atom_site_fract_x
_atom_site_fract_y
_atom_site_fract_z
_atom_site_occupancy
Na1 Na 0.000 0.000 0.000 1
La1 La 0.000 0.000 0.500 1
Pt1 Pt 0.250 0.250 0.250 1
Pb1 Pb 0.250 0.250 0.750 1

# NaLaPtPb, relaxed, DFT PBE-GGA
# Spin magnetization in μB/atom: 0.00
# E_tot in eV/atom: -4.3393
data_NaLaPtPb
_symmetry_space_group_name_H-M 'F -4 3 m'
_symmetry_Int_Tables_number 216
_symmetry_space_group_name_Hall 'F -4 2 3'
_cell_length_a 7.242
_cell_length_b 7.242
_cell_length_c 7.242
_cell_angle_alpha 90.00
_cell_angle_beta 90.00
_cell_angle_gamma 90.00
loop_
_atom_site_label
_atom_site_type_symbol
_atom_site_fract_x
_atom_site_fract_y
_atom_site_fract_z
_atom_site_occupancy
Na1 Na 0.000 0.000 0.000 1
La1 La 0.250 0.250 0.750 1
Pt1 Pt 0.250 0.250 0.250 1
Pb1 Pb 0.000 0.000 0.500 1

E_tot of number 1 (NaLaPdPb)? -4.1429 eV/atom

What is the formula in the fourth record? NaLaPtPb

Which of these has the highest E_tot? number 2

Which formula does entry 4 have? NaLaPtPb